Entry 1:
This record from Alexandria via LeMat-Bulk describes crystalline GaAgPb2Se at its relaxed geometry. The functional is GGA-PBE.

Values from the calculation:
Energy above the lowest structure with this stoichiometry in meV/atom: 13.4
E_form (uncorrected) in eV/atom: -0.063
Electronic total energy in eV for the cell shown: -17.092

a b c (Å): 3.637 6.052 6.227
angles (deg): 89.50 73.36 89.74
Space group P1 (No. 1)
Unique sites:
Ga 0.000 0.000 0.000
Ag 0.584 0.714 0.832
Pb 0.284 0.790 0.419
Pb 0.732 0.280 0.523
Se 0.491 0.305 0.016

***

Entry 2:
This record from Alexandria via LeMat-Bulk describes crystalline GaAgPb2Se at its relaxed geometry. The functional is GGA-PBE.

Values from the calculation:
Energy above the lowest structure with this stoichiometry in meV/atom: 48.8
E_form (uncorrected) in eV/atom: -0.027
Electronic total energy in eV for the cell shown: -16.916

a b c (Å): 4.608 5.991 6.039
angles (deg): 62.26 67.82 87.70
Space group P1 (No. 1)
Unique sites:
Ga 0.000 0.000 0.000
Ag 0.519 0.357 0.671
Pb 0.373 0.120 0.286
Pb 0.637 0.794 0.797
Se 0.137 0.588 0.382

***

> Among the records above, which one has the lowest E_form (uncorrected)?

number 1

***

> What is the energy above the lowest structure with this stoichiometry in the second record?

48.8 meV/atom